(1)
The following is a DFT calculation (PBE) of a relaxed MgSi2Ir2 crystal.

POSCAR file:
```
MgSi2Ir2
1.0
-4.8518 1.8035 0.8816
-3.5679 -3.3592 2.8775
-0.4036 3.5675 6.0475
Si Ir Mg
4 4 2
direct
0.1869 0.1261 0.2500 Si
0.4374 0.6253 0.7500 Si
0.5626 0.3747 0.2500 Si
0.8131 0.8739 0.7500 Si
0.5130 0.2497 0.9735 Ir
0.4870 0.7503 0.0265 Ir
0.2628 0.7503 0.4735 Ir
0.7372 0.2497 0.5265 Ir
0.8749 0.7500 0.2501 Mg
0.1251 0.2500 0.7499 Mg
```

Values from the calculation:
Its space group is C2/c, No. 15. Its final energy is -6.623 eV per atom.

(2)
The following is a DFT calculation (PBE) of a relaxed Mg15Si2Ir5 crystal.

POSCAR file:
```
Mg15Si2Ir5
1.0
-3.6313 7.9827 -0.9137
-12.0297 -5.8427 -3.2370
-3.5361 -0.0866 13.2973
Mg Si Ir
60 8 20
direct
0.2737 0.3702 0.5603 Mg
0.2263 0.8702 0.0603 Mg
0.4344 0.0870 0.1288 Mg
0.1343 0.3672 0.9263 Mg
0.3618 0.9279 0.6300 Mg
0.9080 0.2550 0.2328 Mg
0.7263 0.4397 0.3702 Mg
0.3950 0.5560 0.6600 Mg
0.0920 0.2328 0.7450 Mg
0.5920 0.2450 0.2672 Mg
0.0656 0.5870 0.6288 Mg
0.6050 0.3400 0.5560 Mg
0.3657 0.8672 0.4263 Mg
0.1382 0.5721 0.8700 Mg
0.8887 0.5520 0.2027 Mg
0.9344 0.3712 0.5870 Mg
0.1382 0.4279 0.1300 Mg
0.4080 0.2672 0.7550 Mg
0.8657 0.9263 0.6328 Mg
0.4344 0.9130 0.8712 Mg
0.7263 0.5603 0.6298 Mg
0.0656 0.4130 0.3712 Mg
0.2500 0.7500 0.7500 Mg
0.3887 0.2973 0.0520 Mg
0.3950 0.4440 0.3400 Mg
0.8887 0.4480 0.7973 Mg
0.7500 0.7500 0.2500 Mg
0.6343 0.4263 0.1328 Mg
0.5656 0.8712 0.0870 Mg
0.2500 0.2500 0.2500 Mg
0.3887 0.7027 0.9480 Mg
0.8950 0.1600 0.9440 Mg
0.9080 0.7450 0.7672 Mg
0.1343 0.6328 0.0737 Mg
0.3618 0.0721 0.3700 Mg
0.8657 0.0737 0.3672 Mg
0.6050 0.6600 0.4440 Mg
0.3657 0.1328 0.5737 Mg
0.4080 0.7328 0.2450 Mg
0.5656 0.1288 0.9130 Mg
0.7737 0.9397 0.8702 Mg
0.5920 0.7550 0.7328 Mg
0.6113 0.0520 0.7027 Mg
0.8950 0.8400 0.0560 Mg
0.6382 0.6300 0.0721 Mg
0.6382 0.3700 0.9279 Mg
0.8618 0.1300 0.5721 Mg
0.1113 0.2027 0.4480 Mg
0.2263 0.1298 0.9397 Mg
0.1050 0.9440 0.8400 Mg
0.6343 0.5737 0.8672 Mg
0.7500 0.2500 0.7500 Mg
0.0920 0.7672 0.2550 Mg
0.9344 0.6288 0.4130 Mg
0.1113 0.7973 0.5520 Mg
0.6113 0.9480 0.2973 Mg
0.8618 0.8700 0.4279 Mg
0.7737 0.0603 0.1298 Mg
0.2737 0.6298 0.4397 Mg
0.1050 0.0560 0.1600 Mg
0.6152 0.8338 0.5477 Si
0.3848 0.4523 0.8338 Si
0.6152 0.1662 0.4523 Si
0.8848 0.6662 0.9523 Si
0.1152 0.0477 0.6662 Si
0.1152 0.9523 0.3338 Si
0.3848 0.5477 0.1662 Si
0.8848 0.3338 0.0477 Si
0.3262 0.9246 0.2320 Ir
0.8262 0.7320 0.5754 Ir
0.4007 0.2646 0.4207 Ir
0.1738 0.4246 0.7320 Ir
0.9007 0.0793 0.7646 Ir
0.5993 0.4207 0.7354 Ir
0.1738 0.5754 0.2680 Ir
0.6738 0.7680 0.9246 Ir
0.6139 0.0000 0.5000 Ir
0.5993 0.5793 0.2646 Ir
0.9007 0.9207 0.2354 Ir
0.1139 0.0000 0.5000 Ir
0.3861 0.5000 0.0000 Ir
0.3262 0.0754 0.7680 Ir
0.8861 0.5000 0.0000 Ir
0.0993 0.2354 0.0793 Ir
0.0993 0.7646 0.9207 Ir
0.6738 0.2320 0.0754 Ir
0.4007 0.7354 0.5793 Ir
0.8262 0.2680 0.4246 Ir
```

Values from the calculation:
Its space group is P4_2/n, No. 86. Its final energy is -4.010 eV per atom.

(3)
The following is a DFT calculation (PBE) of a relaxed SmMg2Si2Ir crystal.

POSCAR file:
```
SmMg2Si2Ir
1.0
-2.8692 3.9216 1.3851
-0.1822 -1.7997 4.7178
5.9070 1.7113 -1.8247
Mg Si Ir Sm
2 2 1 1
direct
0.2500 0.7500 0.5000 Mg
0.7500 0.2500 0.5000 Mg
0.2120 0.2120 0.4241 Si
0.7880 0.7880 0.5759 Si
0.0000 0.0000 0.0000 Ir
0.5000 0.5000 0.0000 Sm
```

Values from the calculation:
Its space group is I4/mmm, No. 139. Its final energy is -4.520 eV per atom.

(4)
The following is a DFT calculation (PBE) of a relaxed Sm2MgSi3Ir4 crystal.

POSCAR file:
```
Sm2MgSi3Ir4
1.0
4.1356 0.0000 0.0000
0.0000 4.1356 0.0000
0.0000 0.0000 10.3426
Si Ir Sm Mg
3 4 2 1
direct
0.5000 0.0000 0.8753 Si
0.0000 0.0000 0.5000 Si
0.0000 0.5000 0.1247 Si
0.5000 0.5000 0.0000 Ir
0.5000 0.0000 0.6443 Ir
0.0000 0.5000 0.3557 Ir
0.0000 0.0000 0.0000 Ir
0.5000 0.0000 0.2465 Sm
0.0000 0.5000 0.7535 Sm
0.5000 0.5000 0.5000 Mg
```

Values from the calculation:
Its space group is P-4m2, No. 115. Its final energy is -7.199 eV per atom.

(5)
The following is a DFT calculation (PBE) of a relaxed Sm2MgSi4Ir3 crystal.

POSCAR file:
```
Sm2MgSi4Ir3
1.0
4.1842 0.0000 0.0000
0.0000 4.1842 0.0000
0.0000 0.0000 10.2141
Mg Ir Si Sm
1 3 4 2
direct
0.5000 0.5000 0.5000 Mg
0.0000 0.5000 0.1203 Ir
0.5000 0.0000 0.8797 Ir
0.0000 0.0000 0.5000 Ir
0.0000 0.0000 0.0000 Si
0.0000 0.5000 0.3539 Si
0.5000 0.0000 0.6461 Si
0.5000 0.5000 0.0000 Si
0.0000 0.5000 0.7625 Sm
0.5000 0.0000 0.2375 Sm
```

Values from the calculation:
Its space group is P-4m2, No. 115. Its final energy is -6.804 eV per atom.

(6)
The following is a DFT calculation (PBE) of a relaxed Mg2SiSnIr crystal.

POSCAR file:
```
Mg2SiSnIr
1.0
4.9690 0.0000 0.0000
0.0000 4.4658 0.0000
0.0000 0.0000 4.9690
Sn Mg Ir Si
1 2 1 1
direct
0.5000 0.5000 0.5000 Sn
0.5000 0.0000 0.0000 Mg
0.0000 0.0000 0.5000 Mg
0.0000 0.5000 0.0000 Ir
0.0000 0.0000 0.0000 Si
```

Values from the calculation:
Its space group is P4/mmm, No. 123. Its final energy is -4.126 eV per atom.